This record from Alexandria via LeMat-Bulk describes crystalline Cr3HF at its relaxed geometry. The functional is PBE+U.

## Properties
energy above the lowest structure with this stoichiometry: 0.000 eV/atom

a b c (Å): 4.2581 4.2581 4.2581
angles (deg): 90.00 90.00 90.00
Closest atoms and distances in Å follow each position.
Space group Pm-3m (No. 221)
One atom of each set of equivalent atoms:
Cr 0.0000 0.0000 0.5000  2 H 2.13
H 0.0000 0.0000 0.0000  6 Cr 2.13
F 0.5000 0.5000 0.5000  12 Cr 3.01